(1)
A plane-wave DFT calculation with PBE was carried out for an optimized crystal structure of Tb2TmIn3Ni2Au.

Results
The density comes out at 9.9 g/cm3. The total energy is -4.590 eV per atom. Its magnetization is 0.00 μB/atom. The space group is No. 38. The volume comes out at 191.93 Å³ per cell.

Cell and atoms, written as extended XYZ:
```
9
Lattice="3.914 0.000 0.000 0.000 6.514 3.764 0.000 -6.514 3.764" Properties=species:S:1:pos:R:3 pbc="T T T"
Tb 0.000 -3.852 3.764
Tb 0.000 3.852 3.764
Tm 0.000 0.000 2.905
In 1.957 0.000 0.519
In 1.957 -1.772 4.948
In 1.957 1.772 4.948
Ni 1.957 -2.152 2.222
Ni 1.957 2.152 2.222
Au 0.000 0.000 5.968
```


(2)
A plane-wave DFT calculation with PBE was carried out for an optimized crystal structure of Tb2AgPd5.

Results
The density comes out at 11.2 g/cm3. Its magnetization is 0.00 μB/atom. The space group is No. 139. The value obtained for the formation energy is -0.8228 eV per atom. The volume comes out at 142.07 Å³ per cell.

Cell and atoms, written as extended XYZ:
```
8
Lattice="-2.972 2.972 4.020 2.972 -2.972 4.020 2.972 2.972 -4.020" Properties=species:S:1:pos:R:3 pbc="T T T"
Tb 2.972 0.000 0.000
Tb 0.000 2.972 0.000
Ag 0.000 0.000 0.000
Pd 1.486 1.486 -2.010
Pd 1.486 -1.486 2.010
Pd -1.486 1.486 2.010
Pd 0.000 0.000 4.020
Pd 1.486 1.486 2.010
```


(3)
A plane-wave DFT calculation with PBE was carried out for an optimized crystal structure of Ba2CuSb2Pd.

Results
The density comes out at 6.3 g/cm3. The total energy is -4.310 eV per atom. The space group is No. 187. The volume comes out at 180.69 Å³ per cell.

Cell and atoms, written as extended XYZ:
```
6
Lattice="4.618 0.000 0.000 -2.309 3.999 0.000 0.000 0.000 9.785" Properties=species:S:1:pos:R:3 pbc="T T T"
Ba 0.000 0.000 2.437
Ba 0.000 0.000 7.348
Cu 2.309 1.333 4.892
Sb 0.000 2.666 4.892
Sb 2.309 1.333 0.000
Pd 0.000 2.666 0.000
```


(4)
A plane-wave DFT calculation with PBE was carried out for an optimized crystal structure of Be2TcPt.

Results
The density comes out at 10.3 g/cm3. The total energy is -5.875 eV per atom. Its magnetization is 0.32 μB/atom. The space group is No. 216. The volume comes out at 50.06 Å³ per cell.

Cell and atoms, written as extended XYZ:
```
4
Lattice="0.000 2.925 2.925 2.925 0.000 2.925 2.925 2.925 0.000" Properties=species:S:1:pos:R:3 pbc="T T T"
Be 0.000 0.000 0.000
Be 1.463 1.463 1.463
Tc 2.925 2.925 2.925
Pt 4.388 4.388 4.388
```


- What is the formula in the second record?
  Tb2AgPd5